4
Lattice="-0.5875 0.2252 3.0009 2.3012 -1.7720 -0.9829 4.8796 6.0592 0.5005" Properties=species:S:1:pos:R:3 comment="GGA-PBE Al2RhAu, relaxed" polymorph_energy_mev_per_atom=137.9 m_tot_mub_per_cell=0.0 delta_e_f_ev_per_fu=-2.2 space_group="No. 187" density_g_cm3=9.3 pbc="T T T"
Rh 0.3754 -0.4405 1.6730
Au 2.8152 2.5891 1.9232
Al 1.1241 1.3958 0.1153
Al 3.7556 4.6634 0.3852